VASP calculation (GGA-PBE) on an optimized crystal structure of La3PrNi8.

Unit cell a=5.2069 b=5.2069 c=9.0265 alpha=73.24 beta=73.24 gamma=60.00
Fractional positions:
Ni1 0.4376 0.4376 0.1882
Ni2 0.6875 0.6875 0.9375
Ni3 0.9367 0.4376 0.1882
La1 0.4996 0.4996 0.5011
Ni4 0.9375 0.9375 0.6867
Pr1 0.8754 0.8754 0.3739
La2 0.3746 0.3746 0.8763
Ni5 0.4382 0.9375 0.6867
Ni6 0.4376 0.9367 0.1882
La3 0.0003 0.0003 0.9990
Ni7 0.9375 0.4382 0.6867
Ni8 0.1876 0.1876 0.4373

Output
SG = R3m (160)
DFT formation energy = -0.309 eV per atom
Spin magnetization = 0.000 μB/f.u.
Calculated volume = 16.653 A^3/atom